Version one
## V2InO (PBE with a Hubbard U)

Data for a relaxed V2InO crystal.

Properties
calculated density = 5.3 g cm⁻³
density of states at the Fermi level = 8.68 states/eV/cell

a b c (Å): 6.4532 6.4532 6.9429
angles (deg): 90.00 90.00 90.00
Space group I-42d (No. 122)
Asymmetric unit:
V 0.1277 0.7500 0.1250 (multiplicity 8)
In 0.0000 0.0000 0.5000 (multiplicity 4)
O 0.0000 0.0000 0.0000 (multiplicity 4)



Version two
## V2InO (PBE with a Hubbard U)

Data for a relaxed V2InO crystal.

Properties
calculated density = 5.6 g cm⁻³
density of states at the Fermi level = 17.05 states/eV/cell

a b c (Å): 6.4995 6.4995 6.4995
angles (deg): 90.00 90.00 90.00
Space group Fm-3m (No. 225)
Asymmetric unit:
V 0.2500 0.2500 0.2500 (multiplicity 8)
In 0.0000 0.0000 0.0000 (multiplicity 4)
O 0.0000 0.0000 0.5000 (multiplicity 4)



Stability ranking, top and bottom: version one is the most stable and version two is the least stable.